This record from Alexandria via LeMat-Bulk describes a geometry-optimized BaCd2Tc structure. The functional is PBE.

Computed properties:
DFT formation energy ... 0.66 eV/atom
Density of states at the Fermi level ... 0.77 states/eV/atom
E_tot ... -2.871 eV/atom
Excess energy over the best structure of this formula in the dataset ... 0.268 eV/atom

Cell lengths 4.5792, 4.5792, 4.8445 Å; angles 90.00, 90.00, 90.00 degrees
Positions (direct):
Ba  0.0000  0.0000  0.0000
Cd  0.0000  0.5000  0.5000
Cd  0.5000  0.0000  0.5000
Tc  0.5000  0.5000  0.0000